1.
Material: YHf2
Method: DFT, PBE
State: optimized geometry

Cell lengths 8.957, 8.957, 8.957 Å; angles 60.00, 60.00, 60.00 degrees
Positions (direct):
Y 0.500 0.500 0.500
Y 0.250 0.250 0.250
Hf 0.375 0.875 0.375
Hf 0.375 0.375 0.875
Hf 0.375 0.375 0.375
Hf 0.875 0.375 0.375

Summary:
energy of formation	3.561	eV per atom
polymorph energy (0 for the lowest one)	331.4	kJ/mol of atoms

2.
Material: SrLiErSe3
Method: DFT, PBE
State: optimized geometry

Cell lengths 9.047, 9.047, 8.646 Å; angles 103.87, 103.87, 26.30 degrees
Positions (direct):
Li 0.504 0.504 0.700
Li 0.496 0.496 0.300
Se 0.500 0.500 0.000
Se 0.000 0.000 0.500
Se 0.676 0.676 0.815
Se 0.324 0.324 0.185
Se 0.667 0.667 0.358
Se 0.333 0.333 0.642
Er 0.166 0.166 0.587
Er 0.834 0.834 0.413
Sr 0.134 0.134 0.065
Sr 0.866 0.866 0.935

Summary:
polymorph energy (0 for the lowest one)	0.0	kJ/mol of atoms

3.
Material: Rb2CuSbCl6
Method: DFT, PBE
State: optimized geometry

Cell lengths 7.296, 7.296, 7.296 Å; angles 59.96, 59.96, 59.96 degrees
Positions (direct):
Rb 0.250 0.250 0.250
Rb 0.750 0.750 0.750
Cl 0.259 0.742 0.257
Cl 0.741 0.258 0.743
Cl 0.743 0.741 0.258
Cl 0.258 0.743 0.741
Cl 0.257 0.259 0.742
Cl 0.742 0.257 0.259
Sb 0.000 0.000 0.000
Cu 0.500 0.500 0.500

Summary:
polymorph energy (0 for the lowest one)	0.2	kJ/mol of atoms

4.
Material: NiAs2Pd
Method: DFT, PBE
State: optimized geometry

Cell lengths 4.445, 4.445, 4.445 Å; angles 60.00, 60.00, 60.00 degrees
Positions (direct):
Ni 0.250 0.250 0.250
As 0.000 0.000 0.000
As 0.750 0.750 0.750
Pd 0.500 0.500 0.500

Summary:
uncorrected energy	-4.827	eV/atom

5.
Material: TmGaNO
Method: DFT, PBE
State: optimized geometry

Cell lengths 4.767, 4.767, 4.514 Å; angles 90.00, 90.00, 90.00 degrees
Positions (direct):
N 0.750 0.750 0.473
N 0.250 0.250 0.527
Ga 0.250 0.250 0.991
Ga 0.750 0.750 0.009
Tm 0.250 0.750 0.500
Tm 0.750 0.250 0.500
O 0.250 0.750 0.000
O 0.750 0.250 0.000

Summary:
polymorph energy (0 for the lowest one)	6.3	kJ/mol of atoms

6.
Material: BeAlCoMo
Method: DFT, PBE
State: optimized geometry

Cell lengths 4.118, 4.118, 4.118 Å; angles 60.00, 60.00, 60.00 degrees
Positions (direct):
Mo 0.250 0.250 0.250
Co 0.750 0.750 0.750
Al 0.000 0.000 0.000
Be 0.500 0.500 0.500

Summary:
polymorph energy (0 for the lowest one)	11.7	kJ/mol of atoms

no.,volume (Å³/f.u.)
1,254
2,152
3,274
4,62
5,51
6,49